i.
Here is a relaxed PaBi crystal from Alexandria. Energies are from GGA-PBE.

Lattice parameters (Å, degrees): 8.574 8.574 8.574 28.53 28.53 28.53
Positions (direct):
Pa (0.140, 0.140, 0.140)
Pa (0.860, 0.860, 0.860)
Bi (0.278, 0.278, 0.278)
Bi (0.722, 0.722, 0.722)

Results
For the magnetization, the calculation gives 0.00 μB/f.u. The calculation puts the volume at 127.13 Å³/cell. The space group is No. 166.

***

ii.
Here is a relaxed PaBi crystal from Alexandria. Energies are from GGA-PBE.

Lattice parameters (Å, degrees): 6.279 6.279 5.074 90.04 90.04 37.75
Positions (direct):
Pa (0.101, 0.101, 0.251)
Pa (0.899, 0.899, 0.749)
Bi (0.375, 0.375, 0.250)
Bi (0.625, 0.625, 0.750)

Results
For the magnetization, the calculation gives 1.85 μB/f.u. The calculation puts the volume at 122.48 Å³/cell. The space group is No. 12.

***

iii.
Here is a relaxed PaBi crystal from Alexandria. Energies are from GGA-PBE.

Lattice parameters (Å, degrees): 4.475 4.475 4.475 60.00 60.00 60.00
Positions (direct):
Pa (0.000, 0.000, 0.000)
Bi (0.500, 0.500, 0.500)

Results
For the magnetization, the calculation gives 0.73 μB/f.u. The calculation puts the volume at 63.38 Å³/cell. The space group is No. 225.

***

Going by the computed energies, the most stable comes first: ii, iii, i.

***

i.
Here is a relaxed PaBi4 crystal from Alexandria. Energies are from GGA-PBE.

Lattice parameters (Å, degrees): 4.364 5.859 13.076 90.00 99.96 90.00
Positions (direct):
Pa (0.000, 0.000, 0.000)
Pa (0.000, 0.500, 0.500)
Bi (0.189, 0.000, 0.410)
Bi (0.189, 0.500, 0.910)
Bi (0.418, 0.001, 0.807)
Bi (0.418, 0.499, 0.307)
Bi (0.582, 0.501, 0.693)
Bi (0.582, 0.999, 0.193)
Bi (0.811, 0.000, 0.590)
Bi (0.811, 0.500, 0.090)

Results
For the magnetization, the calculation gives 0.51 μB/f.u. The calculation puts the volume at 329.26 Å³/cell. The space group is No. 14.

***

ii.
Here is a relaxed PaBi4 crystal from Alexandria. Energies are from GGA-PBE.

Lattice parameters (Å, degrees): 5.979 5.979 5.979 90.00 90.00 90.00
Positions (direct):
Pa (0.000, 0.000, 0.000)
Bi (0.000, 0.000, 0.500)
Bi (0.000, 0.500, 0.000)
Bi (0.500, 0.000, 0.000)
Bi (0.500, 0.500, 0.500)

Results
For the magnetization, the calculation gives 0.00 μB/f.u. The calculation puts the volume at 213.70 Å³/cell. The space group is No. 221.

***

iii.
Here is a relaxed PaBi4 crystal from Alexandria. Energies are from GGA-PBE.

Lattice parameters (Å, degrees): 6.247 6.247 6.247 97.50 97.50 137.64
Positions (direct):
Pa (0.000, 0.000, 0.000)
Bi (0.196, 0.630, 0.826)
Bi (0.370, 0.196, 0.566)
Bi (0.630, 0.804, 0.434)
Bi (0.804, 0.370, 0.174)

Results
For the magnetization, the calculation gives 0.78 μB/f.u. The calculation puts the volume at 153.18 Å³/cell. The space group is No. 87.

***

Going by the computed energies, the most stable comes first: iii, i, ii.

***

i.
Here is a relaxed Pa3Bi crystal from Alexandria. Energies are from GGA-PBE.

Lattice parameters (Å, degrees): 6.406 6.406 6.406 150.35 62.13 126.76
Positions (direct):
Pa (0.000, 0.000, 0.000)
Pa (0.425, 0.673, 0.752)
Pa (0.921, 0.673, 0.248)
Bi (0.498, 0.998, 0.500)

Results
For the magnetization, the calculation gives 0.00 μB/f.u. The calculation puts the volume at 103.27 Å³/cell. The space group is No. 44.

***

ii.
Here is a relaxed Pa3Bi crystal from Alexandria. Energies are from GGA-PBE.

Lattice parameters (Å, degrees): 5.294 5.294 5.294 60.00 60.00 60.00
Positions (direct):
Pa (0.000, 0.000, 0.000)
Pa (0.250, 0.250, 0.250)
Pa (0.750, 0.750, 0.750)
Bi (0.500, 0.500, 0.500)

Results
For the magnetization, the calculation gives 0.89 μB/f.u. The calculation puts the volume at 104.92 Å³/cell. The space group is No. 225.

***

iii.
Here is a relaxed Pa3Bi crystal from Alexandria. Energies are from GGA-PBE.

Lattice parameters (Å, degrees): 4.669 4.669 4.669 90.00 90.00 90.00
Positions (direct):
Pa (0.000, 0.000, 0.500)
Pa (0.000, 0.500, 0.000)
Pa (0.500, 0.000, 0.000)
Bi (0.500, 0.500, 0.500)

Results
For the magnetization, the calculation gives 0.00 μB/f.u. The calculation puts the volume at 101.79 Å³/cell. The space group is No. 221.

***

Going by the computed energies, the most stable comes first: iii, i, ii.

***

i.
Here is a relaxed Pa2BiPb crystal from Alexandria. Energies are from GGA-PBE.

Lattice parameters (Å, degrees): 5.745 5.745 3.360 90.00 90.00 90.00
Positions (direct):
Pa (0.000, 0.500, 0.000)
Pa (0.500, 0.000, 0.000)
Bi (0.000, 0.000, 0.500)
Pb (0.500, 0.500, 0.500)

Results
For the magnetization, the calculation gives 2.17 μB/f.u. The calculation puts the volume at 110.89 Å³/cell. The space group is No. 123.

***

ii.
Here is a relaxed Pa2BiPb crystal from Alexandria. Energies are from GGA-PBE.

Lattice parameters (Å, degrees): 7.699 7.699 7.699 33.70 33.70 33.70
Positions (direct):
Pa (0.249, 0.249, 0.249)
Pa (0.751, 0.751, 0.751)
Bi (0.000, 0.000, 0.000)
Pb (0.500, 0.500, 0.500)

Results
For the magnetization, the calculation gives 0.56 μB/f.u. The calculation puts the volume at 125.13 Å³/cell. The space group is No. 166.

***

Going by the computed energies, the most stable comes first: i, ii.

***

i.
Here is a relaxed Pa2BiPd crystal from Alexandria. Energies are from GGA-PBE.

Lattice parameters (Å, degrees): 3.855 3.855 6.560 90.00 90.00 90.00
Positions (direct):
Pa (0.000, 0.000, 0.219)
Pa (0.000, 0.000, 0.781)
Bi (0.500, 0.500, 0.500)
Pd (0.500, 0.500, 0.000)

Results
For the magnetization, the calculation gives 0.01 μB/f.u. The calculation puts the volume at 97.50 Å³/cell. The space group is No. 123.

***

ii.
Here is a relaxed Pa2BiPd crystal from Alexandria. Energies are from GGA-PBE.

Lattice parameters (Å, degrees): 7.779 7.779 7.779 31.15 31.15 31.15
Positions (direct):
Pa (0.236, 0.236, 0.236)
Pa (0.764, 0.764, 0.764)
Bi (0.000, 0.000, 0.000)
Pd (0.500, 0.500, 0.500)

Results
For the magnetization, the calculation gives 1.67 μB/f.u. The calculation puts the volume at 111.79 Å³/cell. The space group is No. 166.

***

Going by the computed energies, the most stable comes first: i, ii.

***

i.
Here is a relaxed PmPaBi crystal from Alexandria. Energies are from GGA-PBE.

Lattice parameters (Å, degrees): 11.711 11.711 11.711 159.50 159.50 29.15
Positions (direct):
Pm (0.125, 0.125, 0.000)
Pm (0.875, 0.875, 0.000)
Pa (0.276, 0.276, 0.000)
Pa (0.724, 0.724, 0.000)
Bi (0.426, 0.426, 0.000)
Bi (0.574, 0.574, 0.000)

Results
For the magnetization, the calculation gives 0.01 μB/f.u. The calculation puts the volume at 196.85 Å³/cell. The space group is No. 139.

***

ii.
Here is a relaxed PmPaBi crystal from Alexandria. Energies are from GGA-PBE.

Lattice parameters (Å, degrees): 5.526 5.526 3.402 90.00 90.00 120.00
Positions (direct):
Pm (0.000, 0.000, 0.000)
Pa (0.667, 0.333, 0.463)
Bi (0.333, 0.667, 0.739)

Results
For the magnetization, the calculation gives 1.62 μB/f.u. The calculation puts the volume at 89.98 Å³/cell. The space group is No. 156.

***

Going by the computed energies, the most stable comes first: i, ii.